# 1
Density functional theory data (PBE) for a geometry-optimized NaMn2Cu structure.

DFT formation energy = 0.852 eV per atom

```
NaMn2Cu
1.0
-1.9317 1.9317 9.5107
1.9317 -1.9317 9.5107
1.9317 1.9317 -9.5107
Na Mn Cu
2 4 2
Cartesian
0.0000 0.0000 0.0000
0.0000 1.9317 4.7554
0.9659 1.0435 -2.3777
2.8200 0.9659 2.3777
0.9659 0.8883 7.1331
-0.8883 0.9659 11.8884
1.9317 0.0000 4.7554
0.0000 0.0000 9.5107
```


# 2
Density functional theory data (PBE) for a geometry-optimized ZrNbNO2 structure.

Uncorrected formation energy = -1.36 eV per atom

```
ZrNbNO2
1.0
3.9483 0.0000 0.0000
0.0000 3.9483 0.0000
0.0000 0.0000 4.1526
Zr Nb N O
1 1 1 2
Cartesian
0.0000 0.0000 0.0000
1.9741 1.9741 2.0763
1.9741 1.9741 0.0000
0.0000 1.9741 2.0763
1.9741 0.0000 2.0763
```


# 3
Density functional theory data (PBE) for a geometry-optimized Ho7Sn2Sb2 structure.

Uncorrected formation energy = -0.38 eV per atom

```
Ho7Sn2Sb2
1.0
4.2993 -5.4533 0.0000
4.2993 5.4533 0.0000
0.0000 0.0000 7.2446
Ho Sn Sb
7 2 2
Cartesian
0.0000 0.0000 0.0000
2.1496 2.7266 2.0151
2.1496 2.7266 5.2295
2.1496 -2.7266 2.0151
2.1496 -2.7266 5.2295
4.2993 0.0000 1.9188
4.2993 0.0000 5.3258
1.5531 0.0000 3.6223
7.0455 0.0000 3.6223
4.2993 2.4022 0.0000
4.2993 -2.4022 0.0000
```


# 4
Density functional theory data (PBE) for a geometry-optimized CaRuRh structure.

Polymorph energy (0 for the lowest one) = 94.2 meV per atom
DFT formation energy = -0.064 eV per atom

```
CaRuRh
1.0
-2.2126 3.6513 3.5790
2.2126 -3.6513 3.5790
2.2126 3.6513 -3.5790
Ca Ru Rh
2 2 2
Cartesian
1.1063 1.3345 0.0000
1.1063 2.3167 3.5790
1.1063 -0.5841 2.3917
1.1063 4.2354 -1.1873
1.1063 -0.7236 4.8563
1.1063 4.3749 1.2773
```


# 5
Density functional theory data (PBE) for a geometry-optimized YSc2Au structure.

Polymorph energy (0 for the lowest one) = 177.5 meV per atom
DFT formation energy = -0.244 eV per atom

```
YSc2Au
1.0
-4.0930 4.0930 3.0654
4.0930 -4.0930 3.0654
4.0930 4.0930 -3.0654
Y Sc Au
2 4 2
Cartesian
0.0000 0.0000 0.0000
0.0000 4.0930 1.5327
2.0465 -1.5642 2.2991
2.5289 2.0465 0.7664
2.0465 5.6572 -0.7664
1.5642 2.0465 3.8318
4.0930 0.0000 1.5327
0.0000 0.0000 3.0654
```


# 6
Density functional theory data (PBE) for a geometry-optimized PmTcN structure.

Polymorph energy (0 for the lowest one) = 804.9 meV per atom
Uncorrected formation energy = 0.51 eV per atom

```
PmTcN
1.0
-2.0731 2.0731 3.8815
2.0731 -2.0731 3.8815
2.0731 2.0731 -3.8815
Pm Tc N
1 1 1
Cartesian
0.0000 0.0000 0.0000
0.0000 0.0000 3.6400
0.0000 0.0000 5.3668
```


| no. | DOS at the Fermi energy (states/eV/cell) | calculated total energy (eV per atom) |
| --- | --- | --- |
| 1 | 6.53 | -5.087 |
| 2 | 3.25 | -8.728 |
| 3 | 14.99 | -4.771 |
| 4 | 6.93 | -6.274 |
| 5 | 2.36 | -5.845 |
| 6 | 3.84 | -7.307 |